Record 1
Sr2HoReO8 | Alexandria via LeMat-Bulk | PBE | relaxed; formation energy from raw total energies = -2.22 eV/atom
1.0
5.526 0.036 -0.299
0.073 4.610 0.617
-0.375 0.812 6.548
Sr Ho Re O
2 1 1 8
direct
0.511 0.406 0.780 Sr
0.489 0.594 0.220 Sr
0.000 0.000 0.500 Ho
0.000 0.000 0.000 Re
0.059 0.709 0.280 O
0.707 0.836 0.931 O
0.834 0.232 0.145 O
0.941 0.291 0.720 O
0.293 0.164 0.069 O
0.166 0.768 0.855 O
0.590 0.879 0.497 O
0.410 0.121 0.503 O

---

Record 2
Sr2HoRe3O12 | Alexandria via LeMat-Bulk | PBE | relaxed; formation energy from raw total energies = -2.07 eV/atom
1.0
6.777 -0.347 -0.246
3.045 6.064 -0.246
3.045 1.773 5.804
Sr Ho Re O
2 1 3 12
direct
0.624 0.624 0.624 Sr
0.376 0.376 0.376 Sr
0.000 0.000 0.000 Ho
0.500 0.000 0.000 Re
0.000 0.500 0.000 Re
0.000 0.000 0.500 Re
0.280 0.280 0.901 O
0.867 0.867 0.408 O
0.408 0.867 0.867 O
0.901 0.280 0.280 O
0.867 0.408 0.867 O
0.280 0.901 0.280 O
0.720 0.720 0.099 O
0.133 0.133 0.592 O
0.592 0.133 0.133 O
0.099 0.720 0.720 O
0.133 0.592 0.133 O
0.720 0.099 0.720 O

---

Record 3
Sr2HoReO6 | Alexandria via LeMat-Bulk | PBE | relaxed; formation energy from raw total energies = -2.60 eV/atom
1.0
5.888 0.000 0.000
2.944 5.099 0.000
2.944 1.700 4.807
Sr Ho Re O
2 1 1 6
direct
0.250 0.250 0.250 Sr
0.750 0.750 0.750 Sr
0.500 0.500 0.500 Ho
0.000 0.000 0.000 Re
0.763 0.237 0.763 O
0.237 0.237 0.763 O
0.763 0.763 0.237 O
0.763 0.237 0.237 O
0.237 0.763 0.237 O
0.237 0.763 0.763 O

---

Record 4
Sr2HoReO6 | Alexandria via LeMat-Bulk | PBE | relaxed; formation energy from raw total energies = -2.53 eV/atom
1.0
-0.790 3.977 -1.077
-5.755 -0.916 0.838
0.559 1.635 5.628
Sr Ho Re O
2 1 1 6
direct
0.144 0.500 0.000 Sr
0.144 0.000 0.500 Sr
0.645 0.500 0.500 Ho
0.645 0.000 0.000 Re
0.645 0.234 0.234 O
0.645 0.234 0.766 O
0.145 0.500 0.500 O
0.145 0.000 0.000 O
0.645 0.766 0.766 O
0.645 0.766 0.234 O

---

Record 5
Ho2TlReO8 | Alexandria via LeMat-Bulk | PBE | relaxed; formation energy from raw total energies = -2.21 eV/atom
1.0
4.912 -0.126 -0.003
-0.113 4.911 -0.005
0.004 0.008 7.046
Ho Tl Re O
2 1 1 8
direct
0.500 0.500 0.755 Ho
0.500 0.500 0.245 Ho
0.000 0.000 0.500 Tl
0.000 0.000 0.000 Re
0.184 0.815 0.194 O
0.717 0.718 0.000 O
0.815 0.185 0.194 O
0.816 0.185 0.806 O
0.283 0.282 0.000 O
0.185 0.815 0.806 O
0.698 0.699 0.500 O
0.302 0.301 0.500 O

---

Record 6
HoTlReO6 | Alexandria via LeMat-Bulk | PBE | relaxed; formation energy from raw total energies = -1.85 eV/atom
1.0
5.583 0.000 0.000
2.792 4.835 0.000
0.000 0.000 4.966
Ho Tl Re O
1 1 1 6
direct
0.667 0.667 0.500 Ho
0.000 0.000 0.000 Tl
0.333 0.333 0.500 Re
0.042 0.351 0.283 O
0.351 0.042 0.717 O
0.606 0.351 0.717 O
0.042 0.606 0.717 O
0.351 0.606 0.283 O
0.606 0.042 0.283 O

---

Record 7
HoTl2ReO6 | Alexandria via LeMat-Bulk | PBE | relaxed; formation energy from raw total energies = -1.69 eV/atom
1.0
5.794 0.000 0.000
0.000 6.547 0.000
0.000 -3.274 5.670
Ho Tl Re O
1 2 1 6
direct
0.500 0.000 0.000 Ho
0.025 0.333 0.667 Tl
0.975 0.667 0.333 Tl
0.000 0.000 0.000 Re
0.797 0.133 0.266 O
0.797 0.133 0.867 O
0.797 0.734 0.867 O
0.203 0.867 0.133 O
0.203 0.266 0.133 O
0.203 0.867 0.734 O

---

Record 8
HoTlRe2O8 | Alexandria via LeMat-Bulk | PBE | relaxed; formation energy from raw total energies = -1.84 eV/atom
1.0
6.043 0.000 0.000
-3.022 5.234 0.000
0.000 0.000 7.741
Ho Tl Re O
1 1 2 8
direct
0.000 0.000 0.500 Ho
0.000 0.000 0.000 Tl
0.667 0.333 0.246 Re
0.333 0.667 0.754 Re
0.333 0.667 0.982 O
0.341 0.170 0.325 O
0.830 0.171 0.325 O
0.667 0.333 0.018 O
0.170 0.829 0.675 O
0.659 0.830 0.675 O
0.171 0.341 0.675 O
0.829 0.659 0.325 O